VASP calculation (PBE-GGA) on a geometry-optimized Tc2SF2 structure.

For the uncorrected energy, the calculation gives -5.61 eV/atom.

Cell lengths 8.4448, 7.9555, 4.3250 Å; angles 81.07, 68.54, 30.39 degrees
With the nearest neighbours (Å) after each atom.
Sites, in units of the cell vectors:
F 0.1250 0.1250 0.1250  2 Tc 2.11, 2 F 2.16, 2 S 2.19
F 0.6250 0.1250 0.1250  2 Tc 2.11, 2 F 2.16, 2 S 2.19
F 0.1250 0.6250 0.1250  2 Tc 2.11, 2 F 2.16, 2 S 2.19
F 0.1250 0.1250 0.6250  2 Tc 2.11, 2 F 2.16, 2 S 2.19
S 0.0000 0.0000 0.0000  4 F 2.19, 4 Tc 2.44
S 0.2500 0.2500 0.2500  4 F 2.19, 4 Tc 2.44
Tc 0.6758 0.6758 0.3242  2 F 2.11
Tc 0.9258 0.9258 0.5742  2 F 2.11
Tc 0.3242 0.3242 0.6758  2 F 2.11
Tc 0.5742 0.5742 0.9258  2 F 2.11